(1)
TiBiSe2 after structural relaxation. Source: Alexandria via LeMat-Bulk, functional PBE.

Unit cell a=5.567 b=5.567 c=13.239 alpha=90.00 beta=90.00 gamma=90.00
Space group I4_1/amd (No. 141, origin choice 2)
Inequivalent atoms, fractional coordinates:
Ti 0.000 0.250 0.375 (multiplicity 4)
Bi 0.000 0.250 0.875 (multiplicity 4)
Se 0.000 0.250 0.176 (multiplicity 8)

Results
formation energy from raw total energies: -1.29 eV/f.u.
ρ: 6.71 g cm⁻³
crystal system: tetragonal



(2)
MgTl2Cr after structural relaxation. Source: Alexandria via LeMat-Bulk, functional PBE.

Unit cell a=3.388 b=3.388 c=8.407 alpha=90.00 beta=90.00 gamma=90.00
Space group P4mm (No. 99)
Inequivalent atoms, fractional coordinates:
Mg 0.000 0.000 0.000 (multiplicity 1)
Tl 0.000 0.000 0.576 (multiplicity 1)
Tl 0.500 0.500 0.266 (multiplicity 1)
Cr 0.500 0.500 0.795 (multiplicity 1)

Results
energy of formation: 355 meV per atom
ρ: 8.34 g cm⁻³
crystal system: tetragonal



- Look up the ρ of the second one.
  8.34 g cm⁻³